Density functional theory data (PBE) for crystalline RbSn4Pb4 at its relaxed geometry.

Unit cell a=7.1968 b=7.1968 c=12.0399 alpha=90.00 beta=90.00 gamma=90.00
With the nearest neighbours (Å) after each atom.
Element x y z (fractional)
Rb1 0.0000 0.0000 0.0000  8 Pb 4.08, 4 Sn 4.10
Rb2 0.5000 0.5000 0.5000  8 Pb 4.08, 4 Sn 4.10
Sn1 0.5000 0.7879 0.7936  1 Sn 3.05, 4 Pb 3.22-3.38
Sn2 0.5000 0.2121 0.7936  1 Sn 3.05, 4 Pb 3.22-3.38
Sn3 0.7879 0.5000 0.2064  1 Sn 3.05, 4 Pb 3.22-3.38
Sn4 0.2121 0.5000 0.2064  1 Sn 3.05, 4 Pb 3.22-3.38
Sn5 0.2879 0.0000 0.2936  1 Sn 3.05, 4 Pb 3.22-3.38
Sn6 0.7121 0.0000 0.2936  1 Sn 3.05, 4 Pb 3.22-3.38
Sn7 0.0000 0.2879 0.7064  1 Sn 3.05, 4 Pb 3.22-3.38
Sn8 0.0000 0.7121 0.7064  1 Sn 3.05, 4 Pb 3.22-3.38
Pb1 0.2279 0.5000 0.9171  5 Sn 3.22-3.49, 3 Pb 3.28-3.41
Pb2 0.7721 0.5000 0.9171  5 Sn 3.22-3.49, 3 Pb 3.28-3.41
Pb3 0.5000 0.7721 0.0829  5 Sn 3.22-3.49, 3 Pb 3.28-3.41
Pb4 0.5000 0.2279 0.0829  5 Sn 3.22-3.49, 3 Pb 3.28-3.41
Pb5 0.0000 0.7279 0.4171  5 Sn 3.22-3.49, 3 Pb 3.28-3.41
Pb6 0.0000 0.2721 0.4171  5 Sn 3.22-3.49, 3 Pb 3.28-3.41
Pb7 0.2721 0.0000 0.5829  5 Sn 3.22-3.49, 3 Pb 3.28-3.41
Pb8 0.7279 0.0000 0.5829  5 Sn 3.22-3.49, 3 Pb 3.28-3.41

As for the total magnetic moment: 0.00 μB/f.u. The value obtained for the formation energy from the elements is 0.289 eV/f.u.